No. 1
# Nd2SmCu (PBE, relaxed)
# Calculated density = 7.20 g/cm³
# ΔE to the lowest computed polymorph = 12 meV per atom
# Formation energy from the elements = -0.05 eV/atom
data_Nd2SmCu
_chemical_formula_sum 'Nd2 Sm1 Cu1'
_cell_length_a 3.633
_cell_length_b 3.633
_cell_length_c 8.778
_cell_angle_alpha 90.00
_cell_angle_beta 90.00
_cell_angle_gamma 90.00
_space_group_name_H-M_alt 'P 4/m m m'
_space_group_IT_number 123
_space_group_name_Hall '-P 4 2'
loop_
_atom_site_label
_atom_site_type_symbol
_atom_site_fract_x
_atom_site_fract_y
_atom_site_fract_z
Nd1 Nd 0.000 0.000 0.199
Sm1 Sm 0.500 0.500 0.500
Cu1 Cu 0.500 0.500 0.000

=====

No. 2
# NdSm3Cu2 (PBE, relaxed)
# Calculated density = 7.56 g/cm³
# ΔE to the lowest computed polymorph = 0 meV per atom
# Formation energy from the elements = -0.11 eV/atom
data_NdSm3Cu2
_chemical_formula_sum 'Nd1 Sm3 Cu2'
_cell_length_a 3.575
_cell_length_b 3.575
_cell_length_c 12.413
_cell_angle_alpha 90.00
_cell_angle_beta 90.00
_cell_angle_gamma 90.00
_space_group_name_H-M_alt 'P 4/m m m'
_space_group_IT_number 123
_space_group_name_Hall '-P 4 2'
loop_
_atom_site_label
_atom_site_type_symbol
_atom_site_fract_x
_atom_site_fract_y
_atom_site_fract_z
Nd1 Nd 0.000 0.000 0.000
Sm1 Sm 0.500 0.500 0.219
Sm2 Sm 0.500 0.500 0.500
Cu1 Cu 0.000 0.000 0.357

=====

No. 3
# Nd5SmCu6 (PBE, relaxed)
# Calculated density = 7.51 g/cm³
# Formation energy from the elements = -0.14 eV/atom
data_Nd5SmCu6
_chemical_formula_sum 'Nd10 Sm2 Cu12'
_cell_length_a 8.775
_cell_length_b 15.203
_cell_length_c 5.085
_cell_angle_alpha 90.00
_cell_angle_beta 125.29
_cell_angle_gamma 90.00
_space_group_name_H-M_alt 'C 1 2/m 1'
_space_group_IT_number 12
_space_group_name_Hall '-C 2y'
loop_
_atom_site_label
_atom_site_type_symbol
_atom_site_fract_x
_atom_site_fract_y
_atom_site_fract_z
Nd1 Nd 0.000 0.000 0.000
Nd2 Nd 0.000 0.166 0.500
Nd3 Nd 0.000 0.333 0.000
Sm1 Sm 0.000 0.500 0.500
Cu1 Cu 0.244 0.500 0.244
Cu2 Cu 0.247 0.335 0.746

=====

No. 4
# Nd3SmCu (PBE, relaxed)
# Calculated density = 6.24 g/cm³
# Formation energy from the elements = 0.16 eV/atom
data_Nd3SmCu
_chemical_formula_sum 'Nd3 Sm1 Cu1'
_cell_length_a 5.561
_cell_length_b 5.561
_cell_length_c 5.561
_cell_angle_alpha 90.00
_cell_angle_beta 90.00
_cell_angle_gamma 90.00
_space_group_name_H-M_alt 'P m -3 m'
_space_group_IT_number 221
_space_group_name_Hall '-P 4 2 3'
loop_
_atom_site_label
_atom_site_type_symbol
_atom_site_fract_x
_atom_site_fract_y
_atom_site_fract_z
Nd1 Nd 0.000 0.000 0.500
Sm1 Sm 0.500 0.500 0.500
Cu1 Cu 0.000 0.000 0.000

=====

No. 5
# Nd2SmCu (PBE, relaxed)
# Calculated density = 7.22 g/cm³
# ΔE to the lowest computed polymorph = 23 meV per atom
# Formation energy from the elements = -0.04 eV/atom
data_Nd2SmCu
_chemical_formula_sum 'Nd4 Sm2 Cu2'
_cell_length_a 5.009
_cell_length_b 7.766
_cell_length_c 6.445
_cell_angle_alpha 90.00
_cell_angle_beta 112.77
_cell_angle_gamma 90.00
_space_group_name_H-M_alt 'P 1 21/m 1'
_space_group_IT_number 11
_space_group_name_Hall '-P 2yb'
loop_
_atom_site_label
_atom_site_type_symbol
_atom_site_fract_x
_atom_site_fract_y
_atom_site_fract_z
Nd1 Nd 0.146 0.030 0.291
Sm1 Sm 0.454 0.250 0.908
Cu1 Cu 0.300 0.750 0.599

=====

No. 6
# NdSm2Cu2 (PBE, relaxed)
# Calculated density = 7.63 g/cm³
# ΔE to the lowest computed polymorph = 0 meV per atom
# Formation energy from the elements = -0.10 eV/atom
data_NdSm2Cu2
_chemical_formula_sum 'Nd2 Sm4 Cu4'
_cell_length_a 3.611
_cell_length_b 5.201
_cell_length_c 13.384
_cell_angle_alpha 90.00
_cell_angle_beta 97.71
_cell_angle_gamma 90.00
_space_group_name_H-M_alt 'P 1 21/m 1'
_space_group_IT_number 11
_space_group_name_Hall '-P 2yb'
loop_
_atom_site_label
_atom_site_type_symbol
_atom_site_fract_x
_atom_site_fract_y
_atom_site_fract_z
Nd1 Nd 0.141 0.250 0.282
Sm1 Sm 0.048 0.750 0.094
Sm2 Sm 0.231 0.750 0.460
Cu1 Cu 0.358 0.250 0.720
Cu2 Cu 0.456 0.750 0.911

=====

No. 7
# Nd3SmCu2 (PBE, relaxed)
# Calculated density = 7.35 g/cm³
# ΔE to the lowest computed polymorph = 0 meV per atom
# Formation energy from the elements = -0.10 eV/atom
data_Nd3SmCu2
_chemical_formula_sum 'Nd6 Sm2 Cu4'
_cell_length_a 5.026
_cell_length_b 9.020
_cell_length_c 7.074
_cell_angle_alpha 90.00
_cell_angle_beta 90.00
_cell_angle_gamma 90.00
_space_group_name_H-M_alt 'P m c 21'
_space_group_IT_number 26
_space_group_name_Hall 'P 2c -2'
loop_
_atom_site_label
_atom_site_type_symbol
_atom_site_fract_x
_atom_site_fract_y
_atom_site_fract_z
Nd1 Nd 0.000 0.078 0.000
Nd2 Nd 0.000 0.340 0.365
Nd3 Nd 0.500 0.162 0.651
Sm1 Sm 0.500 0.424 0.017
Cu1 Cu 0.000 0.349 0.771
Cu2 Cu 0.500 0.154 0.245

=====

No. 8
# Nd2SmCu (PBE, relaxed)
# Calculated density = 6.96 g/cm³
# ΔE to the lowest computed polymorph = 116 meV per atom
# Formation energy from the elements = 0.06 eV/atom
data_Nd2SmCu
_chemical_formula_sum 'Nd6 Sm3 Cu3'
_cell_length_a 3.6869
_cell_length_b 3.6869
_cell_length_c 30.5537
_cell_angle_alpha 90.00
_cell_angle_beta 90.00
_cell_angle_gamma 120.00
_space_group_name_H-M_alt 'R -3 m'
_space_group_IT_number 166
_space_group_name_Hall '-R 3 2"'
loop_
_atom_site_label
_atom_site_type_symbol
_atom_site_fract_x
_atom_site_fract_y
_atom_site_fract_z
Nd1 Nd 0.0000 0.0000 0.2352
Sm1 Sm 0.0000 0.0000 0.0000
Cu1 Cu 0.0000 0.0000 0.5000